(1)
Material: La3Sm7Dy
Method: DFT, GGA-PBE
State: relaxed

```
La3Sm7Dy
1.0
5.965 -0.200 -0.256
-2.678 8.109 1.124
-2.678 -0.875 8.140
La Sm Dy
3 7 1
Direct
0.000 0.786 0.214 La
0.000 0.214 0.786 La
0.500 0.000 0.000 La
0.000 0.500 0.500 Sm
0.209 0.208 0.208 Sm
0.700 0.997 0.403 Sm
0.791 0.792 0.792 Sm
0.300 0.003 0.597 Sm
0.300 0.597 0.003 Sm
0.700 0.403 0.997 Sm
0.500 0.500 0.500 Dy
```

Results
The value obtained for the energy of formation from the pure elements is 2.7 eV/f.u.

=====

(2)
Material: ScCoSnPt
Method: DFT, GGA-PBE
State: relaxed

```
ScCoSnPt
1.0
4.560 0.000 0.000
2.280 3.949 0.000
2.280 1.316 3.724
Pt Co Sn Sc
1 1 1 1
Direct
0.750 0.750 0.750 Pt
0.250 0.250 0.250 Co
0.500 0.500 0.500 Sn
0.000 0.000 0.000 Sc
```

Results
The value obtained for the energy of formation from the pure elements is -2.5 eV/f.u.

=====

(3)
Material: Dy2Ga4Ru
Method: DFT, GGA-PBE
State: relaxed

```
Dy2Ga4Ru
1.0
-2.633 2.053 -0.162
-1.612 -2.315 -3.135
-4.593 -5.178 9.022
Ga Dy Ru
4 2 1
Direct
0.500 0.409 0.819 Ga
0.500 0.591 0.181 Ga
0.000 0.064 0.128 Ga
0.000 0.936 0.872 Ga
0.500 0.186 0.373 Dy
0.500 0.814 0.627 Dy
0.000 0.500 0.000 Ru
```

Results
The value obtained for the energy of formation from the pure elements is -0.1 eV/f.u.

=====

(4)
Material: CdCu4Ge
Method: DFT, GGA-PBE
State: relaxed

```
CdCu4Ge
1.0
-4.265 1.899 -1.716
-3.235 -2.919 -2.400
-4.314 -1.228 2.152
Cd Cu Ge
1 4 1
Direct
0.000 0.000 0.000 Cd
0.625 0.625 0.625 Cu
0.625 0.125 0.625 Cu
0.625 0.625 0.125 Cu
0.125 0.625 0.625 Cu
0.250 0.250 0.250 Ge
```

Results
The value obtained for the energy of formation from the pure elements is 0.4 eV/f.u.

=====

(5)
Material: CaPm3Sm6Dy2
Method: DFT, GGA-PBE
State: relaxed

```
CaPm3Sm6Dy2
1.0
-4.792 3.430 -2.262
3.693 -3.256 -3.950
-6.798 -9.402 3.067
Sm Pm Dy Ca
6 3 2 1
Direct
0.084 0.425 0.250 Sm
0.256 0.256 0.750 Sm
0.916 0.575 0.750 Sm
0.744 0.744 0.250 Sm
0.425 0.084 0.250 Sm
0.575 0.916 0.750 Sm
0.500 0.500 0.500 Pm
0.834 0.166 0.500 Pm
0.166 0.834 0.500 Pm
0.333 0.667 0.000 Dy
0.667 0.333 0.000 Dy
0.000 0.000 0.000 Ca
```

Results
The value obtained for the energy of formation from the pure elements is 0.5 eV/f.u.

=====

(6)
Material: PuCoH8Rh2
Method: DFT, GGA-PBE
State: relaxed

```
PuCoH8Rh2
1.0
-1.489 -2.015 3.776
2.821 -0.646 3.487
-0.967 3.986 4.465
H Rh Pu Co
8 2 1 1
Direct
0.336 0.728 0.837 H
0.099 0.336 0.837 H
0.187 0.187 0.440 H
0.901 0.664 0.163 H
0.272 0.901 0.163 H
0.664 0.272 0.163 H
0.728 0.099 0.837 H
0.813 0.813 0.560 H
0.288 0.288 0.136 Rh
0.712 0.712 0.864 Rh
0.500 0.500 0.500 Pu
0.000 0.000 0.000 Co
```

Results
The calculation puts the total energy at -5.353 eV per atom.

=====

(7)
Material: NaBi2Cl
Method: DFT, GGA-PBE
State: relaxed

```
NaBi2Cl
1.0
-1.781 -4.463 -2.455
-5.188 -1.424 0.421
-3.262 0.395 -4.280
Na Cl Bi
1 1 2
Direct
0.000 0.000 0.000 Na
0.500 0.500 0.500 Cl
0.750 0.750 0.750 Bi
0.250 0.250 0.250 Bi
```

Results
The uncorrected formation energy is -38 meV/atom.

=====

(8)
Material: Na2ZrZn
Method: DFT, GGA-PBE
State: relaxed

```
Na2ZrZn
1.0
8.474 0.000 0.000
0.000 8.474 0.000
4.237 4.237 2.827
Zn Na Zr
2 4 2
Direct
0.500 0.500 0.000 Zn
0.250 0.750 0.500 Zn
0.375 0.419 0.750 Na
0.875 0.831 0.750 Na
0.581 0.125 0.250 Na
0.169 0.625 0.250 Na
0.000 0.000 0.000 Zr
0.750 0.250 0.500 Zr
```

Results
The value obtained for the energy of formation from the pure elements is 2.7 eV/f.u.

=====

(9)
Material: RbHf2MgF
Method: DFT, GGA-PBE
State: relaxed

```
RbHf2MgF
1.0
-3.401 2.806 1.476
1.297 -1.105 5.091
2.965 3.581 0.021
Rb Hf F Mg
1 2 1 1
Direct
0.000 0.500 0.000 Rb
0.000 0.000 0.500 Hf
0.500 0.000 0.000 Hf
0.000 0.000 0.000 F
0.500 0.500 0.500 Mg
```

Results
The uncorrected formation energy is 38 meV/atom.

=====

(10)
Material: RbFeBi2Br
Method: DFT, GGA-PBE
State: relaxed

```
RbFeBi2Br
1.0
-1.171 0.261 -8.836
-0.726 -8.012 -0.141
-8.803 0.777 1.190
Br Bi Fe Rb
1 2 1 1
Direct
0.000 0.500 0.000 Br
0.000 0.000 0.500 Bi
0.500 0.000 0.000 Bi
0.500 0.500 0.500 Fe
0.000 0.000 0.000 Rb
```

Results
The uncorrected formation energy is 1579 meV/atom.

=====

(11)
Material: TmNi5B3
Method: DFT, GGA-PBE
State: relaxed

```
TmNi5B3
1.0
-1.125 -2.459 -2.120
5.464 -0.785 0.795
-2.116 -6.250 8.371
Ni Tm B
10 2 6
Direct
0.439 0.879 0.357 Ni
0.561 0.121 0.643 Ni
0.209 0.417 0.929 Ni
0.000 0.000 0.500 Ni
0.791 0.583 0.071 Ni
0.791 0.583 0.429 Ni
0.561 0.121 0.857 Ni
0.439 0.879 0.143 Ni
0.209 0.417 0.571 Ni
0.000 0.000 0.000 Ni
0.152 0.303 0.250 Tm
0.848 0.697 0.750 Tm
0.391 0.782 0.958 B
0.609 0.218 0.042 B
0.883 0.765 0.250 B
0.391 0.782 0.542 B
0.117 0.235 0.750 B
0.609 0.218 0.458 B
```

Results
The value obtained for the energy of formation from the pure elements is -3.3 eV/f.u.

=====

(12)
Material: La5Y3Se8
Method: DFT, GGA-PBE
State: relaxed

```
La5Y3Se8
1.0
7.322 0.000 4.194
2.460 6.896 4.194
0.003 0.002 8.483
Se La Y
8 5 3
Direct
0.237 0.750 0.263 Se
0.750 0.237 0.263 Se
0.244 0.244 0.268 Se
0.763 0.250 0.737 Se
0.250 0.763 0.737 Se
0.756 0.756 0.732 Se
0.750 0.750 0.263 Se
0.250 0.250 0.737 Se
0.000 0.500 0.000 La
0.000 0.000 0.000 La
0.500 0.500 0.500 La
0.500 0.000 0.000 La
0.500 0.500 0.000 La
0.500 0.000 0.500 Y
0.000 0.500 0.500 Y
0.000 0.000 0.500 Y
```

Results
The uncorrected formation energy is -1909 meV/atom.